# 1
Compound: MnCu2P
Source: the Alexandria database
Functional: PBE
Structure: optimized geometry

Properties
The value obtained for the total energy is -5.6139 eV per atom. For the formation enthalpy at 0 K, the calculation gives 0.079 eV/atom. As for the space group: F-43m.

```
4
Lattice="4.1227 0.0000 0.0000 2.0613 3.5703 0.0000 2.0613 1.1901 3.3661" Properties=species:S:1:pos:R:3 pbc="T T T"
Cu 0.0000 0.0000 0.0000
Cu 2.0613 1.1901 0.8415
Mn 4.1227 2.3802 1.6831
P 6.1840 3.5703 2.5246
```

# 2
Compound: Ca2HfBeGe
Source: the Alexandria database
Functional: PBE
Structure: optimized geometry

Properties
The value obtained for the total energy is -3.2406 eV per atom. For the formation enthalpy at 0 K, the calculation gives 1.219 eV/atom. As for the space group: P4/mmm.

```
5
Lattice="-3.3166 2.8031 3.8447 -3.3462 -3.0887 -0.6347 2.1959 -3.2559 4.2681" Properties=species:S:1:pos:R:3 pbc="T T T"
Ca -1.6583 1.4015 1.9224
Ca 1.0979 -1.6280 2.1340
Ge -2.2335 -1.7708 3.7391
Be -1.6731 -1.5443 -0.3173
Hf 0.0000 0.0000 0.0000
```

# 3
Compound: Pm2HgF8
Source: the Alexandria database
Functional: PBE
Structure: optimized geometry

Properties
As for the energy relative to the lowest polymorph listed for this composition: 2.7 kJ/mol of atoms. The value obtained for the total energy is -5.5892 eV per atom. The uncorrected formation energy is -3.34 eV/atom. As for the space group: C2/m.

```
11
Lattice="-0.9572 -2.1436 -3.5103 6.5021 1.3191 -0.4482 3.5754 -4.1965 3.7181" Properties=species:S:1:pos:R:3 pbc="T T T"
F 1.1341 -2.7096 -2.7905
F 7.9862 -2.3115 2.5500
F 4.0378 -0.6556 -2.1350
F 4.8778 -3.3403 -0.9955
Pm 2.7103 -2.2118 -1.0242
F 4.2424 -1.6808 0.7551
F 6.8586 -1.0183 -0.6338
F 5.0824 -4.3655 1.8946
Hg 0.0000 0.0000 0.0000
Pm 6.4099 -2.8093 0.7837
F 2.2617 -4.0028 0.3933
```